<1>
VASP calculation (PBE) on a relaxed SrSiI2N crystal.

a = 6.1106 Å, b = 6.1106 Å, c = 3.5602 Å
α = 90.00°, β = 90.00°, γ = 90.00°
Last column: nearest neighbours and their distance in Å.
Positions (direct):
I  0.0000  0.5000  0.0000  2 Si 3.06
I  0.5000  0.0000  0.0000  2 Si 3.06
Sr  0.5000  0.5000  0.5000  8 I 3.54, 2 Sr 3.56
Si  0.0000  0.0000  0.0000  2 N 1.78
N  0.0000  0.0000  0.5000  2 Si 1.78

Computed properties:
- symmetry = P4/mmm
- crystal system = tetragonal

---

<2>
VASP calculation (PBE) on a relaxed SrSiI2N crystal.

a = 6.3344 Å, b = 6.3344 Å, c = 4.3863 Å
α = 90.00°, β = 90.00°, γ = 90.00°
Last column: nearest neighbours and their distance in Å.
Positions (direct):
I  0.0000  0.5000  0.0000  2 Sr 3.17
I  0.5000  0.0000  0.0000  2 Sr 3.17
Sr  0.0000  0.0000  0.0000  2 N 2.19
Si  0.5000  0.5000  0.5000  8 I 3.85
N  0.0000  0.0000  0.5000  2 Sr 2.19

Computed properties:
- symmetry = P4/mmm
- crystal system = tetragonal

---

Q: Which of them is the most stable? A: <1>.

---

<1>
VASP calculation (PBE) on a relaxed SiTcI2N crystal.

a = 5.5501 Å, b = 5.5501 Å, c = 3.7633 Å
α = 90.00°, β = 90.00°, γ = 90.00°
Last column: nearest neighbours and their distance in Å.
Positions (direct):
I  0.0000  0.5000  0.0000  2 Tc 2.78
I  0.5000  0.0000  0.0000  2 Tc 2.78
Si  0.5000  0.5000  0.5000  8 I 3.35
Tc  0.0000  0.0000  0.0000  2 N 1.88
N  0.0000  0.0000  0.5000  2 Tc 1.88

Computed properties:
- symmetry = P4/mmm
- crystal system = tetragonal

---

<2>
VASP calculation (PBE) on a relaxed SiTcI2N crystal.

a = 5.7734 Å, b = 5.7734 Å, c = 3.3543 Å
α = 90.00°, β = 90.00°, γ = 90.00°
Last column: nearest neighbours and their distance in Å.
Positions (direct):
I  0.0000  0.5000  0.0000  2 Si 2.89
I  0.5000  0.0000  0.0000  2 Si 2.89
Si  0.0000  0.0000  0.0000  2 N 1.68
Tc  0.5000  0.5000  0.5000  8 I 3.34, 2 Tc 3.35
N  0.0000  0.0000  0.5000  2 Si 1.68

Computed properties:
- symmetry = P4/mmm
- crystal system = tetragonal

---

Q: Which of them is the most stable? A: <1>.